{"formula": "Y3Se4", "functional": "GGA-PBE", "state": "relaxed", "lattice_angstrom": [[-1.970, 1.970, 11.895], [1.970, -1.970, 11.895], [1.970, 1.970, -11.895]], "species": ["Y", "Y", "Y", "Se", "Se", "Se", "Se"], "frac_coords": [[0.000, 0.000, 0.000], [0.315, 0.315, 0.000], [0.685, 0.685, 0.000], [0.189, 0.189, 0.000], [0.434, 0.434, 0.000], [0.566, 0.566, 0.000], [0.811, 0.811, 0.000]], "e_tot_ev_per_cell": -45.35, "raw_formation_energy_ev_per_atom": -1.72, "space_group": "I4/mmm (139)", "polymorph_energy_ev_per_atom": 0.139}